Below is a relaxed LiCdFeH6 crystal, with properties calculated at the PBE level.

Computed properties:
final energy	-61.959	eV/cell
SG	P-31c
calculated density	3.8	g cm⁻³

a b c (Å): 4.683 4.683 8.310
angles (deg): 90.00 90.00 120.00
Fractional positions:
Li1 0.000 0.000 0.000
Li2 0.000 0.000 0.500
Cd1 0.333 0.667 0.250
Cd2 0.667 0.333 0.750
Fe1 0.333 0.667 0.750
Fe2 0.667 0.333 0.250
H1 0.089 0.396 0.628
H2 0.089 0.693 0.872
H3 0.307 0.396 0.872
H4 0.307 0.911 0.628
H5 0.396 0.089 0.128
H6 0.396 0.307 0.372
H7 0.604 0.693 0.628
H8 0.604 0.911 0.872
H9 0.693 0.089 0.372
H10 0.693 0.604 0.128
H11 0.911 0.307 0.128
H12 0.911 0.604 0.372